(1)
The following is a GGA-PBE calculation of BaCd2Bi after structural relaxation, from the Alexandria database.

It has space group P4/mmm (No. 123), with a = 4.941 Å, b = 4.941 Å, c = 5.307 Å, α = 90.00°, β = 90.00° and γ = 90.00°. Symmetry generates all atoms from Ba at (0.000, 0.000, 0.000), Cd at (0.000, 0.500, 0.500) and Bi at (0.500, 0.500, 0.000).

As for the formation energy from the elements: -321 meV per atom.


(2)
The following is a GGA-PBE calculation of Ba5Cd2Bi5 after structural relaxation, from the Alexandria database.

It has space group R-3m (No. 166, hexagonal axes), with a = 5.2447 Å, b = 5.2447 Å, c = 62.6692 Å, α = 90.00°, β = 90.00° and γ = 120.00°. Symmetry generates all atoms from Ba at (0.0000, 0.0000, 0.0000), Ba at (0.0000, 0.0000, 0.1971), Ba at (0.0000, 0.0000, 0.2746), Cd at (0.0000, 0.0000, 0.4201), Bi at (0.0000, 0.0000, 0.0999), Bi at (0.0000, 0.0000, 0.3661) and Bi at (0.0000, 0.0000, 0.5000).

As for the formation energy from the elements: -708 meV per atom.


(3)
The following is a GGA-PBE calculation of Ba2Cd5Bi3 after structural relaxation, from the Alexandria database.

It has space group P-4m2 (No. 115), with a = 4.915 Å, b = 4.915 Å, c = 13.597 Å, α = 90.00°, β = 90.00° and γ = 90.00°. Symmetry generates all atoms from Ba at (0.000, 0.500, 0.231), Cd at (0.000, 0.000, 0.000), Cd at (0.000, 0.000, 0.500), Cd at (0.000, 0.500, 0.884), Cd at (0.500, 0.500, 0.000), Bi at (0.000, 0.500, 0.663) and Bi at (0.500, 0.500, 0.500).

As for the formation energy from the elements: -281 meV per atom.


(4)
The following is a GGA-PBE calculation of Ba2Cd3Bi4 after structural relaxation, from the Alexandria database.

It has space group Cmce (No. 64), with a = 7.062 Å, b = 17.806 Å, c = 9.413 Å, α = 90.00°, β = 90.00° and γ = 90.00°. Symmetry generates all atoms from Ba at (0.000, 0.117, 0.078), Cd at (0.000, 0.000, 0.500), Cd at (0.250, 0.220, 0.750), Bi at (0.000, 0.186, 0.449) and Bi at (0.250, 0.052, 0.750).

As for the formation energy from the elements: -485 meV per atom.


(5)
The following is a GGA-PBE calculation of BaCdBiCl after structural relaxation, from the Alexandria database.

It has space group P4/nmm (No. 129, origin choice 2), with a = 4.938 Å, b = 4.938 Å, c = 10.565 Å, α = 90.00°, β = 90.00° and γ = 90.00°. Symmetry generates all atoms from Ba at (0.250, 0.250, 0.182), Cd at (0.250, 0.750, 0.500), Bi at (0.250, 0.250, 0.676) and Cl at (0.250, 0.750, 0.000).


(6)
The following is a GGA-PBE calculation of BaCd2CoBi after structural relaxation, from the Alexandria database.

It has space group P4/mmm (No. 123), with a = 5.162 Å, b = 5.162 Å, c = 5.144 Å, α = 90.00°, β = 90.00° and γ = 90.00°. Symmetry generates all atoms from Ba at (0.000, 0.000, 0.000), Cd at (0.000, 0.500, 0.500), Co at (0.500, 0.500, 0.500) and Bi at (0.500, 0.500, 0.000).

As for the formation energy from the elements: -151 meV per atom.


(7)
The following is a GGA-PBE calculation of BaCr2CdBi after structural relaxation, from the Alexandria database.

It has space group P4/mmm (No. 123), with a = 5.388 Å, b = 5.388 Å, c = 5.978 Å, α = 90.00°, β = 90.00° and γ = 90.00°. Symmetry generates all atoms from Ba at (0.000, 0.000, 0.000), Cr at (0.000, 0.500, 0.500), Cd at (0.500, 0.500, 0.000) and Bi at (0.500, 0.500, 0.500).

As for the formation energy from the elements: 687 meV per atom.


(8)
The following is a GGA-PBE calculation of Cs2BaCdBi2 after structural relaxation, from the Alexandria database.

It has space group Ibam (No. 72), with a = 8.067 Å, b = 17.779 Å, c = 8.083 Å, α = 90.00°, β = 90.00° and γ = 90.00°. Symmetry generates all atoms from Cs at (0.222, 0.176, 0.000), Ba at (0.000, 0.500, 0.250), Cd at (0.000, 0.000, 0.250) and Bi at (0.213, 0.095, 0.500).

As for the formation energy from the elements: -506 meV per atom.


(9)
The following is a GGA-PBE calculation of BaCd2CuBi after structural relaxation, from the Alexandria database.

It has space group P4/mmm (No. 123), with a = 5.136 Å, b = 5.136 Å, c = 5.608 Å, α = 90.00°, β = 90.00° and γ = 90.00°. Symmetry generates all atoms from Ba at (0.000, 0.000, 0.000), Cd at (0.000, 0.500, 0.500), Cu at (0.500, 0.500, 0.500) and Bi at (0.500, 0.500, 0.000).

As for the formation energy from the elements: -212 meV per atom.


(10)
The following is a GGA-PBE calculation of BaCdBiF after structural relaxation, from the Alexandria database.

It has space group P4/nmm (No. 129, origin choice 2), with a = 4.729 Å, b = 4.729 Å, c = 10.001 Å, α = 90.00°, β = 90.00° and γ = 90.00°. Symmetry generates all atoms from Ba at (0.250, 0.250, 0.138), Cd at (0.250, 0.750, 0.500), Bi at (0.250, 0.250, 0.692) and F at (0.250, 0.750, 0.000).


(11)
The following is a GGA-PBE calculation of Ba2CdBiH after structural relaxation, from the Alexandria database.

It has space group P4/mmm (No. 123), with a = 5.628 Å, b = 5.628 Å, c = 4.881 Å, α = 90.00°, β = 90.00° and γ = 90.00°. Symmetry generates all atoms from Ba at (0.000, 0.500, 0.000), Cd at (0.000, 0.000, 0.500), Bi at (0.500, 0.500, 0.500) and H at (0.000, 0.000, 0.000).


(12)
The following is a GGA-PBE calculation of BaCdBiH after structural relaxation, from the Alexandria database.

It has space group P3m1 (No. 156), with a = 4.8919 Å, b = 4.8919 Å, c = 5.3674 Å, α = 90.00°, β = 90.00° and γ = 120.00°. Symmetry generates all atoms from Ba at (0.0000, 0.0000, 0.0000), Cd at (0.3333, 0.6667, 0.4181), Bi at (0.6667, 0.3333, 0.5661) and H at (0.3333, 0.6667, 0.0594).


(13)
The following is a GGA-PBE calculation of BaCdHgBi2 after structural relaxation, from the Alexandria database.

It has space group P2/c (No. 13), with a = 7.044 Å, b = 6.462 Å, c = 8.472 Å, α = 90.00°, β = 104.05° and γ = 90.00°. Symmetry generates all atoms from Ba at (0.000, 0.178, 0.250), Cd at (0.500, 0.467, 0.250), Hg at (0.500, 0.000, 0.000) and Bi at (0.218, 0.317, 0.928).

As for the formation energy from the elements: -303 meV per atom.


(14)
The following is a GGA-PBE calculation of Ba2Cd4Hg3Bi after structural relaxation, from the Alexandria database.

It has space group P-4m2 (No. 115), with a = 4.916 Å, b = 4.916 Å, c = 12.633 Å, α = 90.00°, β = 90.00° and γ = 90.00°. Symmetry generates all atoms from Ba at (0.000, 0.500, 0.249), Cd at (0.000, 0.000, 0.500), Cd at (0.000, 0.500, 0.861), Cd at (0.500, 0.500, 0.500), Hg at (0.000, 0.000, 0.000), Hg at (0.000, 0.500, 0.635) and Bi at (0.500, 0.500, 0.000).

As for the formation energy from the elements: -342 meV per atom.


(15)
The following is a GGA-PBE calculation of Ba2Cd4HgBi3 after structural relaxation, from the Alexandria database.

It has space group P-4m2 (No. 115), with a = 5.222 Å, b = 5.222 Å, c = 12.147 Å, α = 90.00°, β = 90.00° and γ = 90.00°. Symmetry generates all atoms from Ba at (0.000, 0.500, 0.239), Cd at (0.000, 0.000, 0.500), Cd at (0.000, 0.500, 0.879), Cd at (0.500, 0.500, 0.500), Hg at (0.500, 0.500, 0.000), Bi at (0.000, 0.000, 0.000) and Bi at (0.000, 0.500, 0.636).

As for the formation energy from the elements: -370 meV per atom.


(16)
The following is a GGA-PBE calculation of BaCd2Hg2Bi2 after structural relaxation, from the Alexandria database.

It has space group R-3m (No. 166, hexagonal axes), with a = 5.4396 Å, b = 5.4396 Å, c = 26.4104 Å, α = 90.00°, β = 90.00° and γ = 120.00°. Symmetry generates all atoms from Ba at (0.0000, 0.0000, 0.0000), Cd at (0.0000, 0.0000, 0.4015), Hg at (0.0000, 0.0000, 0.1352) and Bi at (0.0000, 0.0000, 0.2537).

As for the formation energy from the elements: -217 meV per atom.


(17)
The following is a GGA-PBE calculation of Ba2CdHg3Bi4 after structural relaxation, from the Alexandria database.

It has space group P-4m2 (No. 115), with a = 4.827 Å, b = 4.827 Å, c = 14.547 Å, α = 90.00°, β = 90.00° and γ = 90.00°. Symmetry generates all atoms from Ba at (0.000, 0.500, 0.249), Cd at (0.000, 0.000, 0.500), Hg at (0.000, 0.500, 0.851), Hg at (0.500, 0.500, 0.500), Bi at (0.000, 0.000, 0.000), Bi at (0.000, 0.500, 0.639) and Bi at (0.500, 0.500, 0.000).

As for the formation energy from the elements: -360 meV per atom.


(18)
The following is a GGA-PBE calculation of Ba2Cd3Hg12Bi after structural relaxation, from the Alexandria database.

It has space group R-3m (No. 166, hexagonal axes), with a = 6.9948 Å, b = 6.9948 Å, c = 38.8853 Å, α = 90.00°, β = 90.00° and γ = 120.00°. Symmetry generates all atoms from Ba at (0.0000, 0.0000, 0.1366), Cd at (0.0000, 0.5000, 0.0000), Hg at (0.0313, 0.5157, 0.8902), Hg at (0.0403, 0.5202, 0.6144) and Bi at (0.0000, 0.0000, 0.5000).

As for the formation energy from the elements: -144 meV per atom.


(19)
The following is a GGA-PBE calculation of BaCd2Hg4Bi after structural relaxation, from the Alexandria database.

It has space group P4/mmm (No. 123), with a = 5.555 Å, b = 5.555 Å, c = 7.972 Å, α = 90.00°, β = 90.00° and γ = 90.00°. Symmetry generates all atoms from Ba at (0.000, 0.000, 0.000), Cd at (0.500, 0.500, 0.181), Hg at (0.000, 0.500, 0.295) and Bi at (0.000, 0.000, 0.500).

As for the formation energy from the elements: -209 meV per atom.


(20)
The following is a GGA-PBE calculation of BaCdIn2Bi after structural relaxation, from the Alexandria database.

It has space group Imm2 (No. 44), with a = 4.871 Å, b = 4.906 Å, c = 13.736 Å, α = 90.00°, β = 90.00° and γ = 90.00°. Symmetry generates all atoms from Ba at (0.000, 0.000, 0.000), Cd at (0.000, 0.500, 0.734), In at (0.000, 0.000, 0.613), In at (0.000, 0.500, 0.239) and Bi at (0.000, 0.000, 0.388).

As for the formation energy from the elements: -334 meV per atom.


(21)
The following is a GGA-PBE calculation of Ba2CdIn2Bi4 after structural relaxation, from the Alexandria database.

It has space group C2/m (No. 12), with a = 17.620 Å, b = 5.327 Å, c = 7.166 Å, α = 90.00°, β = 110.39° and γ = 90.00°. Symmetry generates all atoms from Ba at (0.130, 0.000, 0.120), Cd at (0.000, 0.000, 0.500), In at (0.163, 0.500, 0.502), Bi at (0.011, 0.500, 0.769) and Bi at (0.206, 0.000, 0.717).

As for the formation energy from the elements: -424 meV per atom.


(22)
The following is a GGA-PBE calculation of BaCdInBi2 after structural relaxation, from the Alexandria database.

It has space group Cmme (No. 67), with a = 6.420 Å, b = 15.723 Å, c = 7.106 Å, α = 90.00°, β = 90.00° and γ = 90.00°. Symmetry generates all atoms from Ba at (0.000, 0.250, 0.236), Cd at (0.250, 0.000, 0.500), In at (0.000, 0.000, 0.000) and Bi at (0.000, 0.142, 0.719).

As for the formation energy from the elements: -252 meV per atom.


(23)
The following is a GGA-PBE calculation of Ba2Cd4InBi3 after structural relaxation, from the Alexandria database.

It has space group P-4m2 (No. 115), with a = 5.162 Å, b = 5.162 Å, c = 12.521 Å, α = 90.00°, β = 90.00° and γ = 90.00°. Symmetry generates all atoms from Ba at (0.000, 0.500, 0.243), Cd at (0.000, 0.000, 0.500), Cd at (0.000, 0.500, 0.874), Cd at (0.500, 0.500, 0.500), In at (0.500, 0.500, 0.000), Bi at (0.000, 0.000, 0.000) and Bi at (0.000, 0.500, 0.637).

As for the formation energy from the elements: -358 meV per atom.


| no. | M_tot (μB/f.u.) | final energy (eV per atom) | Fermi-level density of states (states/eV/f.u.) |
| --- | --- | --- | --- |
| 1 | 0.0 | -2.23 | 2.63 |
| 2 | 0.0 | -3.28 | 10.59 |
| 3 | 0.0 | -2.29 | 6.12 |
| 4 | 0.0 | -2.94 | 3.72 |
| 5 | 0.0 | -3.35 | 0.51 |
| 6 | 0.7 | -3.10 | 3.67 |
| 7 | 9.1 | -4.51 | 3.41 |
| 8 | 0.0 | -2.56 | 0.71 |
| 9 | 0.0 | -2.56 | 1.18 |
| 10 | 0.0 | -3.87 | 0.45 |
| 11 | 0.0 | -2.93 | 1.09 |
| 12 | 0.0 | -3.04 | 0.01 |
| 13 | 0.0 | -2.48 | 0.49 |
| 14 | 0.0 | -1.57 | 6.28 |
| 15 | 0.0 | -2.32 | 3.25 |
| 16 | 0.0 | -1.95 | 3.17 |
| 17 | 0.0 | -2.48 | 4.84 |
| 18 | 0.0 | -0.93 | 7.31 |
| 19 | 0.0 | -1.31 | 3.58 |
| 20 | 0.0 | -2.77 | 2.33 |
| 21 | 0.0 | -3.29 | 2.03 |
| 22 | 0.0 | -2.92 | 2.19 |
| 23 | 0.0 | -2.55 | 4.79 |